No. 1
Material: K2Zr2O5
Method: DFT, PBE
State: relaxed

Lattice parameters (Å, degrees): 5.929 10.912 8.886 90.00 90.00 90.00
Space group Pnna (No. 52)
Unique sites:
1 K 0.064 0.166 0.078 x8
2 Zr 0.032 0.077 0.660 x8
3 O 0.007 0.750 0.250 x4
4 O 0.127 0.607 0.950 x8
5 O 0.250 0.000 0.245 x4
6 O 0.250 0.000 0.823 x4

Results
V (A^3/atom): 15.971
E_form (uncorrected) (eV/f.u.): -24.836
Total moment (μB/cell): 0.0

No. 2
Material: TcOsSeN2
Method: DFT, PBE
State: relaxed

Lattice parameters (Å, degrees): 3.779 3.779 5.509 90.00 90.00 90.00
Space group P4/mmm (No. 123)
Unique sites:
1 Tc 0.000 0.000 0.000 x1
2 Os 0.500 0.500 0.500 x1
3 Se 0.000 0.000 0.500 x1
4 N 0.000 0.500 0.000 x2

Results
V (A^3/atom): 15.735
E_form (uncorrected) (eV/f.u.): 6.743
Polymorph energy (0 for the lowest one) (eV per atom): 0.3229
Total moment (μB/cell): 2.5